Density functional theory data (PBE) for an optimized crystal structure of Mn3Pb.

Cell lengths 3.0497, 4.5540, 4.9544 Å; angles 90.00, 90.00, 90.00 degrees
With the nearest neighbours (Å) after each atom.
Sites, in units of the cell vectors:
1 Mn 0.0000 0.0000 0.0000  6 Mn 2.73-3.05, 4 Pb 2.88
2 Mn 0.0000 0.5000 0.3244  8 Mn 2.79-3.05, 4 Pb 2.90-2.92
3 Mn 0.5000 0.0000 0.4566  8 Mn 2.73-3.05, 2 Pb 2.91
4 Pb 0.5000 0.5000 0.8213  10 Mn 2.88-2.92, 2 Pb 3.05

Computed properties:
- E_tot (eV/atom) = -7.24
- formation enthalpy at 0 K (eV per atom) = 0.568
- density of states at the Fermi level (states/eV/f.u.) = 3.39